Material: LiTl2
Method: DFT, PBE
State: optimized geometry

Computed properties:
relative energy among the computed polymorphs	0.049	eV per atom
space-group type	No. 12
ΔE_f	-86	meV/atom
total DFT energy (no corrections)	-2.302	eV per atom

Unit cell a=13.590 b=13.544 c=13.544 alpha=165.87 beta=165.89 gamma=20.00
Element x y z (fractional)
Tl  0.694  0.947  0.747
Tl  0.306  0.053  0.253
Tl  0.557  0.803  0.754
Tl  0.443  0.197  0.246
Li  0.123  0.375  0.748
Li  0.877  0.625  0.252